# 1
A plane-wave DFT calculation with PBE was carried out for BaMoW4 after structural relaxation.

abc: 5.4953 5.4953 5.4953
angles: 60.00 60.00 60.00
Last column: nearest neighbours and their distance in Å.
Fractional coordinates of all 6 atoms:
Mo  0.0000  0.0000  0.0000  12 W 3.22, 4 Ba 3.37
W  0.8763  0.3746  0.3746  6 W 2.74-2.76
W  0.3746  0.8763  0.3746  6 W 2.74-2.76
Ba  0.7500  0.7500  0.7500  12 W 3.22, 4 Mo 3.37
W  0.3746  0.3746  0.3746  6 W 2.74-2.76
W  0.3746  0.3746  0.8763  6 W 2.74-2.76

The calculation puts the formation energy at 6.3 eV/f.u. The value obtained for the volume is 19.6 Å³/atom.



# 2
A plane-wave DFT calculation with PBE was carried out for TbPrAs after structural relaxation.

abc: 5.9074 6.5925 6.5925
angles: 126.53 90.00 90.00
Last column: nearest neighbours and their distance in Å.
Fractional coordinates of all 6 atoms:
Pr  0.7500  0.2962  0.7038  4 As 2.97-3.12
Tb  0.0000  0.0000  0.0000  2 As 2.90, 2 Tb 2.95
Pr  0.2500  0.7038  0.2962  4 As 2.97-3.12
As  0.2500  0.2116  0.7884  2 Tb 2.90, 4 Pr 2.97-3.12
Tb  0.5000  0.0000  0.0000  2 As 2.90, 2 Tb 2.95
As  0.7500  0.7884  0.2116  2 Tb 2.90, 4 Pr 2.97-3.12

The calculation puts the formation energy at -1.4 eV/f.u. The value obtained for the volume is 34.4 Å³/atom.



# 3
A plane-wave DFT calculation with PBE was carried out for Sn3PtAu after structural relaxation.

abc: 5.8569 6.3631 7.0983
angles: 90.00 90.00 111.64
Last column: nearest neighbours and their distance in Å.
Fractional coordinates of all 10 atoms:
Au  0.5036  0.4931  0.2500  1 Pt 2.81, 5 Sn 2.83-2.99
Sn  0.0814  0.3063  0.5167  2 Pt 2.73, 2 Au 2.83-2.99, 1 Sn 2.96
Pt  0.1757  0.0405  0.2500  5 Sn 2.66-2.73, 1 Au 2.81
Au  0.4964  0.5069  0.7500  1 Pt 2.81, 5 Sn 2.83-2.99
Sn  0.0814  0.3063  0.9833  2 Pt 2.73, 2 Au 2.83-2.99, 1 Sn 2.96
Pt  0.8243  0.9595  0.7500  5 Sn 2.66-2.73, 1 Au 2.81
Sn  0.9186  0.6937  0.0167  2 Pt 2.73, 2 Au 2.83-2.99, 1 Sn 2.96
Sn  0.4040  0.0310  0.7500  1 Pt 2.66, 1 Au 2.87
Sn  0.5960  0.9690  0.2500  1 Pt 2.66, 1 Au 2.87
Sn  0.9186  0.6937  0.4833  2 Pt 2.73, 2 Au 2.83-2.99, 1 Sn 2.96

The calculation puts the formation energy at -0.9 eV/f.u. The value obtained for the volume is 24.6 Å³/atom.



# 4
A plane-wave DFT calculation with PBE was carried out for Pm6ThSn6 after structural relaxation.

abc: 7.3053 7.3055 9.2715
angles: 90.00 90.00 120.00
Last column: nearest neighbours and their distance in Å.
Fractional coordinates of all 13 atoms:
Sn  0.3333  0.6667  0.5000  6 Pm 3.10
Sn  0.6667  0.3333  0.5000  6 Pm 3.10
Pm  0.5000  0.5000  0.2552  4 Sn 3.10-3.17
Sn  0.0000  0.0000  0.3396  1 Sn 2.97, 1 Th 3.15
Sn  0.3334  0.6667  0.0000  6 Pm 3.17
Pm  0.5000  0.0000  0.7448  4 Sn 3.10-3.17
Pm  0.5000  0.5000  0.7448  4 Sn 3.10-3.17
Sn  0.6666  0.3333  0.0000  6 Pm 3.17
Th  0.0000  0.0000  0.0000  2 Sn 3.15
Sn  0.0000  0.0000  0.6604  1 Sn 2.97, 1 Th 3.15
Pm  0.0000  0.5000  0.2552  4 Sn 3.10-3.17
Pm  0.5000  0.0000  0.2552  4 Sn 3.10-3.17
Pm  0.0000  0.5000  0.7448  4 Sn 3.10-3.17

The calculation puts the formation energy at -5.4 eV/f.u. The value obtained for the volume is 33.0 Å³/atom.



# 5
A plane-wave DFT calculation with PBE was carried out for La2Ta after structural relaxation.

abc: 8.7968 8.7968 5.3603
angles: 90.00 90.00 155.17
Last column: nearest neighbours and their distance in Å.
Fractional coordinates of all 6 atoms:
La  0.9987  0.0013  0.0000  6 La 3.23-3.40
La  0.6926  0.3074  0.0000  4 La 3.25-3.63, 4 Ta 3.35
La  0.5503  0.4497  0.5000  8 La 3.40-3.78, 2 Ta 3.64
La  0.3466  0.6534  0.0000  4 La 3.23-3.25, 6 Ta 3.28-3.33
Ta  0.8471  0.1529  0.5000  2 Ta 2.74
Ta  0.2314  0.7686  0.5000  2 Ta 2.74

The calculation puts the formation energy at 1.4 eV/f.u. The value obtained for the volume is 29.0 Å³/atom.



# 6
A plane-wave DFT calculation with PBE was carried out for YMn2Rh after structural relaxation.

abc: 5.2592 5.2592 5.2592
angles: 139.32 129.54 66.73
Last column: nearest neighbours and their distance in Å.
Fractional coordinates of all 4 atoms:
Rh  0.5148  0.5148  0.0000  2 Mn 2.56, 2 Y 2.83
Mn  0.9968  0.9968  0.0000  4 Rh 2.90, 4 Mn 2.97-3.05, 4 Y 3.00-3.01
Y  0.2694  0.7694  0.5000  2 Rh 2.83, 8 Mn 2.93-3.01
Mn  0.7190  0.2190  0.5000  2 Rh 2.56

The calculation puts the formation energy at 0.1 eV/f.u. The value obtained for the volume is 18.0 Å³/atom.



# 7
A plane-wave DFT calculation with PBE was carried out for TmPuCdTc after structural relaxation.

abc: 5.0091 5.0091 5.0091
angles: 60.00 60.00 60.00
Last column: nearest neighbours and their distance in Å.
Fractional coordinates of all 4 atoms:
Tm  0.7500  0.7500  0.7500  4 Tc 3.07, 4 Cd 3.07
Tc  0.5000  0.5000  0.5000  4 Tm 3.07, 4 Pu 3.07
Pu  0.2500  0.2500  0.2500  4 Cd 3.07, 4 Tc 3.07
Cd  0.0000  0.0000  0.0000  4 Pu 3.07, 4 Tm 3.07

The calculation puts the formation energy at 0.3 eV/f.u. The value obtained for the volume is 22.2 Å³/atom.



# 8
A plane-wave DFT calculation with PBE was carried out for Tl2FeSe after structural relaxation.

abc: 5.7641 5.7641 5.7641
angles: 134.41 134.41 66.45
Last column: nearest neighbours and their distance in Å.
Fractional coordinates of all 4 atoms:
Tl  0.0000  0.0000  0.0000  4 Fe 3.16, 4 Se 3.29, 4 Tl 3.29
Tl  0.2500  0.7500  0.5000  4 Se 3.16, 4 Fe 3.29, 4 Tl 3.29
Se  0.7500  0.2500  0.5000  8 Tl 3.16-3.29, 4 Fe 3.29
Fe  0.5000  0.5000  0.0000  8 Tl 3.16-3.29, 4 Se 3.29

The value obtained for the volume is 24.0 Å³/atom. For the formation energy from raw total energies, the calculation gives 449 meV/atom.



# 9
A plane-wave DFT calculation with PBE was carried out for LaWCl after structural relaxation.

abc: 4.8440 4.8440 3.1607
angles: 90.00 90.00 120.00
Last column: nearest neighbours and their distance in Å.
Fractional coordinates of all 3 atoms:
Cl  0.0000  0.0000  0.8329  3 W 2.80
W  0.6667  0.3333  0.8334  3 Cl 2.80
La  0.3333  0.6667  0.3336  2 La 3.16, 6 Cl 3.21, 6 W 3.21

The value obtained for the volume is 21.4 Å³/atom. For the formation energy from raw total energies, the calculation gives 467 meV/atom.



# 10
A plane-wave DFT calculation with PBE was carried out for PmErSiPt after structural relaxation.

abc: 5.0265 5.0265 5.0265
angles: 60.00 60.00 60.00
Last column: nearest neighbours and their distance in Å.
Fractional coordinates of all 4 atoms:
Pt  0.2500  0.2500  0.2500  4 Er 3.08, 4 Pm 3.08
Pm  0.0000  0.0000  0.0000  4 Pt 3.08, 4 Si 3.08
Si  0.7500  0.7500  0.7500  4 Er 3.08, 4 Pm 3.08
Er  0.5000  0.5000  0.5000  4 Si 3.08, 4 Pt 3.08

The value obtained for the volume is 22.5 Å³/atom. For the formation energy from raw total energies, the calculation gives -804 meV/atom.



# 11
A plane-wave DFT calculation with PBE was carried out for LaHfGe3 after structural relaxation.

abc: 5.0986 5.0986 5.0986
angles: 90.00 90.00 90.00
Last column: nearest neighbours and their distance in Å.
Fractional coordinates of all 5 atoms:
Ge  0.0000  0.0000  0.5000  2 Hf 2.55
La  0.5000  0.5000  0.5000  12 Ge 3.61
Ge  0.0000  0.5000  0.0000  2 Hf 2.55
Hf  0.0000  0.0000  0.0000  6 Ge 2.55
Ge  0.5000  0.0000  0.0000  2 Hf 2.55

The calculation puts the formation energy at -1.1 eV/f.u. The value obtained for the volume is 26.5 Å³/atom.



# 12
A plane-wave DFT calculation with PBE was carried out for Nb12Al3Zn after structural relaxation.

abc: 5.2114 5.2155 10.3814
angles: 90.00 90.00 90.00
Last column: nearest neighbours and their distance in Å.
Fractional coordinates of all 16 atoms:
Nb  0.5000  0.0000  0.6246  2 Nb 2.58-2.59
Nb  0.0000  0.2525  0.2503  2 Nb 2.58-2.63
Zn  0.0000  0.0000  0.5000  12 Nb 2.91
Nb  0.5000  0.0000  0.3754  2 Nb 2.58-2.59
Nb  0.2506  0.5000  0.0000  2 Nb 2.60-2.61, 2 Al 2.90
Nb  0.5000  0.0000  0.1272  2 Nb 2.58-2.64
Al  0.0000  0.0000  0.0000  12 Nb 2.91-2.92
Al  0.5000  0.5000  0.2495  12 Nb 2.90-2.92
Nb  0.2491  0.5000  0.5000  2 Nb 2.60-2.61
Nb  0.7509  0.5000  0.5000  2 Nb 2.60-2.61
Nb  0.5000  0.0000  0.8728  2 Nb 2.58-2.64
Nb  0.7494  0.5000  0.0000  2 Nb 2.60-2.61, 2 Al 2.90
Nb  0.0000  0.7475  0.7497  2 Nb 2.58-2.63
Nb  0.0000  0.7475  0.2503  2 Nb 2.58-2.63
Nb  0.0000  0.2525  0.7497  2 Nb 2.58-2.63
Al  0.5000  0.5000  0.7505  12 Nb 2.90-2.92

The calculation puts the formation energy at -2.4 eV/f.u. The value obtained for the volume is 17.6 Å³/atom.